Density functional theory data (PBE) for a geometry-optimized KZn4Rh structure.

```
KZn4Rh
1.0
0.000 3.734 3.734
3.734 0.000 3.734
3.734 3.734 0.000
K Zn Rh
1 4 1
Direct
0.000 0.000 0.000
0.377 0.377 0.377
0.377 0.377 0.870
0.377 0.870 0.377
0.870 0.377 0.377
0.750 0.750 0.750
```

DFT formation energy   0.1551 eV/atom
Space-group type   F-43m (216)
Total DFT energy (no corrections)   -2.102 eV/atom
Total magnetic moment   0.00 μB per atom
V   104.2 Å³/cell